(1)
The following is a PBE-GGA calculation of a relaxed Y2Tm6Th crystal, from Alexandria via LeMat-Bulk.

Structure (POSCAR):
```
Y2Tm6Th
1.0
3.5563 0.0000 0.0000
-1.7782 3.0799 0.0000
0.0000 0.0000 25.8874
Y Tm Th
2 6 1
direct
0.0000 0.0000 0.1722
0.0000 0.0000 0.8278
0.0000 0.0000 0.3891
0.0000 0.0000 0.6109
0.6667 0.3333 0.0643
0.6667 0.3333 0.2820
0.6667 0.3333 0.7180
0.6667 0.3333 0.9357
0.6667 0.3333 0.5000
```

Properties
As for the formation energy: 5.8 kJ per mole of atoms. Its crystal system is hexagonal.

(2)
The following is a PBE-GGA calculation of a relaxed Pm2I2O crystal, from Alexandria via LeMat-Bulk.

Structure (POSCAR):
```
Pm2I2O
1.0
11.5905 -2.0479 0.0000
11.5905 2.0479 0.0000
-0.6175 0.0000 7.2002
Pm I O
4 4 2
direct
0.1857 0.1857 0.3793
0.3121 0.3121 0.0794
0.6879 0.6879 0.9206
0.8143 0.8143 0.6207
0.0975 0.0975 0.6991
0.4116 0.4116 0.7942
0.5884 0.5884 0.2058
0.9025 0.9025 0.3009
0.2118 0.2118 0.0757
0.7882 0.7882 0.9243
```

Properties
Its crystal system is monoclinic. For the uncorrected formation energy, the calculation gives -1920 meV/atom.

(3)
The following is a PBE-GGA calculation of a relaxed CsKP2 crystal, from Alexandria via LeMat-Bulk.

Structure (POSCAR):
```
CsKP2
1.0
8.0388 0.0000 0.0000
0.0000 8.0388 0.0000
0.0000 0.0000 8.0388
Cs K P
4 4 8
direct
0.0000 0.0000 0.0000
0.0000 0.5000 0.5000
0.5000 0.0000 0.5000
0.5000 0.5000 0.0000
0.0000 0.0000 0.5000
0.0000 0.5000 0.0000
0.5000 0.0000 0.0000
0.5000 0.5000 0.5000
0.2500 0.2500 0.2500
0.2500 0.2500 0.7500
0.2500 0.7500 0.2500
0.2500 0.7500 0.7500
0.7500 0.2500 0.2500
0.7500 0.2500 0.7500
0.7500 0.7500 0.2500
0.7500 0.7500 0.7500
```

Properties
As for the formation energy: 52.1 kJ per mole of atoms. Its crystal system is cubic.

(4)
The following is a PBE-GGA calculation of a relaxed Sr2Zn crystal, from Alexandria via LeMat-Bulk.

Structure (POSCAR):
```
Sr2Zn
1.0
7.4410 0.0000 0.0000
0.0000 7.8760 0.0000
0.0000 0.0000 4.4906
Sr Zn
4 2
direct
0.2427 0.1647 0.0000
0.2573 0.6647 0.5000
0.7427 0.3353 0.5000
0.7573 0.8353 0.0000
0.0000 0.5000 0.0000
0.5000 0.0000 0.5000
```

Properties
As for the formation energy: -4.1 kJ per mole of atoms. Its crystal system is orthorhombic.

(5)
The following is a PBE-GGA calculation of a relaxed BrF4 crystal, from Alexandria via LeMat-Bulk.

Structure (POSCAR):
```
BrF4
1.0
4.1702 0.0000 0.0000
0.0000 4.1702 0.0000
0.0000 0.0000 4.1702
Br F
1 4
direct
0.0000 0.0000 0.0000
0.0000 0.0000 0.5000
0.0000 0.5000 0.0000
0.5000 0.0000 0.0000
0.5000 0.5000 0.5000
```

Properties
Its crystal system is cubic. For the uncorrected formation energy, the calculation gives -263 meV/atom.

(6)
The following is a PBE-GGA calculation of a relaxed Cs2PuH12Pd3 crystal, from Alexandria via LeMat-Bulk.

Structure (POSCAR):
```
Cs2PuH12Pd3
1.0
3.5728 2.0627 5.1701
-3.5728 2.0627 5.1701
0.0000 -4.1255 5.1701
Cs Pu H Pd
2 1 12 3
direct
0.1127 0.1127 0.1127
0.8873 0.8873 0.8873
0.5000 0.5000 0.5000
0.1049 0.6093 0.6093
0.2315 0.2315 0.5628
0.2315 0.5628 0.2315
0.3907 0.3907 0.8951
0.3907 0.8951 0.3907
0.4372 0.7685 0.7685
0.5628 0.2315 0.2315
0.6093 0.1049 0.6093
0.6093 0.6093 0.1049
0.7685 0.4372 0.7685
0.7685 0.7685 0.4372
0.8951 0.3907 0.3907
0.0000 0.5000 0.5000
0.5000 0.0000 0.5000
0.5000 0.5000 0.0000
```

Properties
The value obtained for the energy is -4.169 eV per atom. Its crystal system is trigonal.

(7)
The following is a PBE-GGA calculation of a relaxed Be2CuPb crystal, from Alexandria via LeMat-Bulk.

Structure (POSCAR):
```
Be2CuPb
1.0
2.9507 0.0000 0.0000
0.0000 3.9576 0.0000
-0.7639 0.0000 5.4013
Be Cu Pb
2 1 1
direct
0.2000 0.0000 0.3465
0.8000 0.0000 0.6535
0.5000 0.5000 0.5000
0.0000 0.5000 0.0000
```

Properties
As for the formation energy: 51.3 kJ per mole of atoms. Its crystal system is monoclinic.

(8)
The following is a PBE-GGA calculation of a relaxed Th2Ga4Ir3Pt crystal, from Alexandria via LeMat-Bulk.

Structure (POSCAR):
```
Th2Ga4Ir3Pt
1.0
4.2200 0.0000 0.0000
0.0000 4.2200 0.0000
0.0000 0.0000 10.6398
Th Ga Ir Pt
2 4 3 1
direct
0.0000 0.5000 0.2453
0.5000 0.0000 0.7547
0.0000 0.0000 0.0000
0.0000 0.5000 0.6300
0.5000 0.0000 0.3700
0.5000 0.5000 0.0000
0.0000 0.5000 0.8619
0.5000 0.0000 0.1381
0.5000 0.5000 0.5000
0.0000 0.0000 0.5000
```

Properties
As for the formation energy: -76.5 kJ per mole of atoms. Its crystal system is tetragonal.

(9)
The following is a PBE-GGA calculation of a relaxed Pr3ErTl4 crystal, from Alexandria via LeMat-Bulk.

Structure (POSCAR):
```
Pr3ErTl4
1.0
3.7684 0.0000 0.0000
0.0000 7.3766 0.0000
0.0000 0.0000 18.5115
Pr Er Tl
6 2 8
direct
0.0000 0.0000 0.0000
0.0000 0.5000 0.2160
0.0000 0.5000 0.7840
0.5000 0.0000 0.2840
0.5000 0.0000 0.7160
0.5000 0.5000 0.5000
0.0000 0.0000 0.5000
0.5000 0.5000 0.0000
0.0000 0.2849 0.3749
0.0000 0.2849 0.6251
0.0000 0.7151 0.3749
0.0000 0.7151 0.6251
0.5000 0.2151 0.1251
0.5000 0.2151 0.8749
0.5000 0.7849 0.1251
0.5000 0.7849 0.8749
```

Properties
As for the formation energy: -23.1 kJ per mole of atoms. Its crystal system is orthorhombic.

(10)
The following is a PBE-GGA calculation of a relaxed PrYMgPb crystal, from Alexandria via LeMat-Bulk.

Structure (POSCAR):
```
PrYMgPb
1.0
7.7146 0.0000 0.0000
0.0000 7.7146 0.0000
0.0000 0.0000 7.7146
Pr Y Mg Pb
4 4 4 4
direct
0.0000 0.0000 0.0000
0.0000 0.5000 0.5000
0.5000 0.0000 0.5000
0.5000 0.5000 0.0000
0.0000 0.0000 0.5000
0.0000 0.5000 0.0000
0.5000 0.0000 0.0000
0.5000 0.5000 0.5000
0.2500 0.2500 0.2500
0.2500 0.7500 0.7500
0.7500 0.2500 0.7500
0.7500 0.7500 0.2500
0.2500 0.2500 0.7500
0.2500 0.7500 0.2500
0.7500 0.2500 0.2500
0.7500 0.7500 0.7500
```

Properties
As for the formation energy: -31.1 kJ per mole of atoms. Its crystal system is cubic.

(11)
The following is a PBE-GGA calculation of a relaxed Tm3HPb3 crystal, from Alexandria via LeMat-Bulk.

Structure (POSCAR):
```
Tm3HPb3
1.0
4.0846 -5.0528 0.0000
4.0846 5.0528 0.0000
-1.4132 0.0000 8.3151
Tm H Pb
6 2 6
direct
0.0791 0.4344 0.7588
0.1386 0.1386 0.3706
0.4344 0.0791 0.7588
0.5656 0.9209 0.2412
0.8614 0.8614 0.6294
0.9209 0.5656 0.2412
0.1353 0.1353 0.6342
0.8647 0.8647 0.3658
0.1580 0.8420 0.0000
0.3160 0.6840 0.5000
0.3659 0.3659 0.1050
0.6341 0.6341 0.8950
0.6840 0.3160 0.5000
0.8420 0.1580 0.0000
```

Properties
The value obtained for the energy is -4.382 eV per atom. Its crystal system is monoclinic.

(12)
The following is a PBE-GGA calculation of a relaxed Mn4SiBr crystal, from Alexandria via LeMat-Bulk.

Structure (POSCAR):
```
Mn4SiBr
1.0
0.0000 3.5587 3.5587
3.5587 0.0000 3.5587
3.5587 3.5587 0.0000
Mn Si Br
4 1 1
direct
0.1231 0.1231 0.1231
0.1231 0.1231 0.6307
0.1231 0.6307 0.1231
0.6307 0.1231 0.1231
0.7500 0.7500 0.7500
0.5000 0.5000 0.5000
```

Properties
Its crystal system is cubic. For the uncorrected formation energy, the calculation gives 717 meV/atom.

Magnetization across the listed records, respectively: 1.65 2.19 0.00 0.00 0.62 5.51 0.00 0.00 0.32 0.01 0.00 10.85 μB per cell.
Fermi-level density of states across the listed records, respectively: 16.55 3.53 18.57 6.95 11.61 14.45 1.09 7.30 13.61 14.63 5.42 6.54 states/eV/cell.